[1]
Here is CrGeI2O after structural relaxation from the Alexandria database. Energies are from GGA+U.

Computed properties:
- mass density (Mg/m³) = 5.0
- crystal system = tetragonal
- total moment (μB per formula unit) = 4.92
- N(E_F) (states/eV/f.u.) = 1.98
- E above lowest polymorph (kcal/mol of atoms) = 2.16

Lattice parameters (Å, degrees): 5.8764 5.8764 3.7660 90.00 90.00 90.00
With the nearest neighbours (Å) after each atom.
Atoms (fractional coordinates):
Cr 0.0000 0.0000 0.0000  8 I 3.49, 2 Cr 3.77
Ge 0.5000 0.5000 0.5000  2 O 1.88
I 0.0000 0.5000 0.5000  2 Ge 2.94
I 0.5000 0.0000 0.5000  2 Ge 2.94
O 0.5000 0.5000 0.0000  2 Ge 1.88


[2]
Here is CrGeIO2 after structural relaxation from the Alexandria database. Energies are from GGA+U.

Computed properties:
- mass density (Mg/m³) = 5.0
- crystal system = tetragonal
- total moment (μB per formula unit) = 4.75
- N(E_F) (states/eV/f.u.) = 0.98
- E above lowest polymorph (kcal/mol of atoms) = 0.00

Lattice parameters (Å, degrees): 3.8475 3.8475 6.3969 90.00 90.00 90.00
With the nearest neighbours (Å) after each atom.
Atoms (fractional coordinates):
Cr 0.0000 0.0000 0.0000  4 I 2.72
Ge 0.5000 0.5000 0.5000  4 O 1.92
I 0.5000 0.5000 0.0000  4 Cr 2.72
O 0.0000 0.5000 0.5000  2 Ge 1.92
O 0.5000 0.0000 0.5000  2 Ge 1.92